Entry 1:
# Na2GaGeAu2

An optimized crystal structure of Na2GaGeAu2 (PBE-GGA, OQMD via LeMat-Bulk).

a b c (Å): 4.6562 4.6562 6.2671
angles (deg): 90.00 90.00 120.00
With the nearest neighbours (Å) after each atom.
Sites, in units of the cell vectors:
Au1 0.0000 0.0000 0.0000  3 Ga 2.69
Au2 0.3333 0.6667 0.5000  3 Ge 2.69
Ga1 0.3333 0.6667 0.0000  3 Au 2.69
Ge1 0.0000 0.0000 0.5000  3 Au 2.69
Na1 0.6667 0.3333 0.2523  6 Au 3.10-3.12, 3 Ge 3.10, 2 Na 3.10-3.16, 3 Ga 3.12
Na2 0.6667 0.3333 0.7477  6 Au 3.10-3.12, 3 Ge 3.10, 2 Na 3.10-3.16, 3 Ga 3.12

Computed properties:
Total energy: -3.07 eV per atom
Crystal system: hexagonal

=====

Entry 2:
# PmScO3

An optimized crystal structure of PmScO3 (PBE-GGA, OQMD via LeMat-Bulk).

a b c (Å): 5.5313 5.7884 7.9730
angles (deg): 90.00 90.00 90.00
With the nearest neighbours (Å) after each atom.
Sites, in units of the cell vectors:
O1 0.6954 0.3029 0.0601  2 Sc 2.09-2.11, 1 Pm 2.34
O2 0.8046 0.8029 0.0601  2 Sc 2.09-2.11, 1 Pm 2.34
O3 0.1152 0.4544 0.2500  2 Sc 2.11, 1 Pm 2.30
O4 0.3848 0.9544 0.2500  2 Sc 2.11, 1 Pm 2.30
O5 0.6954 0.3029 0.4399  2 Sc 2.09-2.11, 1 Pm 2.34
O6 0.8046 0.8029 0.4399  2 Sc 2.09-2.11, 1 Pm 2.34
O7 0.1955 0.1971 0.5601  2 Sc 2.09-2.11, 1 Pm 2.34
O8 0.3046 0.6971 0.5601  2 Sc 2.09-2.11, 1 Pm 2.34
O9 0.6152 0.0456 0.7500  2 Sc 2.11, 1 Pm 2.30
O10 0.8848 0.5456 0.7500  2 Sc 2.11, 1 Pm 2.30
O11 0.1955 0.1971 0.9399  2 Sc 2.09-2.11, 1 Pm 2.34
O12 0.3046 0.6971 0.9399  2 Sc 2.09-2.11, 1 Pm 2.34
Pm1 0.9836 0.0591 0.2500  4 O 2.30-2.40
Pm2 0.5164 0.5591 0.2500  4 O 2.30-2.40
Pm3 0.4836 0.4409 0.7500  4 O 2.30-2.40
Pm4 0.0164 0.9409 0.7500  4 O 2.30-2.40
Sc1 0.5000 0.0000 0.0000  6 O 2.09-2.11
Sc2 0.0000 0.5000 0.0000  6 O 2.09-2.11
Sc3 0.5000 0.0000 0.5000  6 O 2.09-2.11
Sc4 0.0000 0.5000 0.5000  6 O 2.09-2.11

Computed properties:
Total energy: -8.68 eV per atom
Crystal system: orthorhombic
Total moment: 0.0 μB/f.u.

=====

Entry 3:
# SmGe2IrPt

An optimized crystal structure of SmGe2IrPt (PBE-GGA, OQMD via LeMat-Bulk).

a b c (Å): 4.2509 4.2509 10.3463
angles (deg): 90.00 90.00 90.00
With the nearest neighbours (Å) after each atom.
Sites, in units of the cell vectors:
Ge1 0.0000 0.5000 0.1284  1 Pt 2.46, 4 Ir 2.51
Ge2 0.0000 0.0000 0.5000  4 Pt 2.53
Ge3 0.5000 0.5000 0.5000  4 Pt 2.53
Ge4 0.5000 0.0000 0.8716  1 Pt 2.46, 4 Ir 2.51
Ir1 0.0000 0.0000 0.0000  4 Ge 2.51
Ir2 0.5000 0.5000 0.0000  4 Ge 2.51
Pt1 0.0000 0.5000 0.3665  5 Ge 2.46-2.53
Pt2 0.5000 0.0000 0.6335  5 Ge 2.46-2.53
Sm1 0.5000 0.0000 0.2503  4 Pt 3.24, 8 Ge 3.26-3.35, 4 Ir 3.35
Sm2 0.0000 0.5000 0.7497  4 Pt 3.24, 8 Ge 3.26-3.35, 4 Ir 3.35

Computed properties:
Crystal system: tetragonal
Energy above the lowest structure with this stoichiometry: 0.0 meV/atom
Total moment: 0.0 μB/f.u.

=====

Entry 4:
# SrGePt

An optimized crystal structure of SrGePt (PBE-GGA, OQMD via LeMat-Bulk).

a b c (Å): 4.7639 4.7639 4.7639
angles (deg): 60.00 60.00 60.00
With the nearest neighbours (Å) after each atom.
Sites, in units of the cell vectors:
Ge1 0.2500 0.2500 0.2500  4 Pt 2.92
Pt1 0.0000 0.0000 0.0000  4 Ge 2.92, 4 Sr 2.92
Sr1 0.7500 0.7500 0.7500  4 Pt 2.92

Computed properties:
Total energy: -4.53 eV per atom
Crystal system: cubic
Total moment: 0.0 μB/f.u.

=====

Entry 5:
# PmCu4Hg

An optimized crystal structure of PmCu4Hg (PBE-GGA, OQMD via LeMat-Bulk).

a b c (Å): 5.1418 5.1418 5.1418
angles (deg): 60.00 60.00 60.00
With the nearest neighbours (Å) after each atom.
Sites, in units of the cell vectors:
Cu1 0.3739 0.3739 0.3739  6 Cu 2.55-2.59
Cu2 0.8783 0.3739 0.3739  6 Cu 2.55-2.59
Cu3 0.3739 0.8783 0.3739  6 Cu 2.55-2.59
Cu4 0.3739 0.3739 0.8783  6 Cu 2.55-2.59
Hg1 0.0000 0.0000 0.0000  12 Cu 3.01, 4 Pm 3.15
Pm1 0.7500 0.7500 0.7500  12 Cu 3.02, 4 Hg 3.15

Computed properties:
Crystal system: cubic
Total moment: 0.0 μB/f.u.
Formation energy: -209 meV per atom

=====

Entry 6:
# ZrPaPb

An optimized crystal structure of ZrPaPb (PBE-GGA, OQMD via LeMat-Bulk).

a b c (Å): 5.0920 5.0920 5.0920
angles (deg): 60.00 60.00 60.00
With the nearest neighbours (Å) after each atom.
Sites, in units of the cell vectors:
Pa1 0.0000 0.0000 0.0000  4 Zr 3.12, 4 Pb 3.12
Pb1 0.2500 0.2500 0.2500  4 Pa 3.12
Zr1 0.7500 0.7500 0.7500  4 Pa 3.12

Computed properties:
Crystal system: cubic
Energy above the lowest structure with this stoichiometry: 401.2 meV/atom
Total moment: 4.0 μB/f.u.

=====

Entry 7:
# RbLiPu

An optimized crystal structure of RbLiPu (PBE-GGA, OQMD via LeMat-Bulk).

a b c (Å): 5.6257 5.6257 5.6257
angles (deg): 60.00 60.00 60.00
With the nearest neighbours (Å) after each atom.
Sites, in units of the cell vectors:
Li1 0.0000 0.0000 0.0000  4 Rb 3.45, 4 Pu 3.45
Pu1 0.7500 0.7500 0.7500  4 Li 3.45
Rb1 0.2500 0.2500 0.2500  4 Li 3.45

Computed properties:
Crystal system: cubic
Energy above the lowest structure with this stoichiometry: 0.0 meV/atom
Total moment: 7.3 μB/f.u.

=====

Entry 8:
# PmPuAg

An optimized crystal structure of PmPuAg (PBE-GGA, OQMD via LeMat-Bulk).

a b c (Å): 4.9323 4.9323 4.9323
angles (deg): 60.00 60.00 60.00
With the nearest neighbours (Å) after each atom.
Sites, in units of the cell vectors:
Ag1 0.0000 0.0000 0.0000  4 Pu 3.02
Pm1 0.5000 0.5000 0.5000  4 Pu 3.02
Pu1 0.2500 0.2500 0.2500  4 Pm 3.02, 4 Ag 3.02

Computed properties:
Crystal system: cubic
Energy above the lowest structure with this stoichiometry: 0.0 meV/atom
Total moment: 6.0 μB/f.u.
Formation energy: 461 meV per atom

=====

Entry 9:
# UBiB

An optimized crystal structure of UBiB (PBE-GGA, OQMD via LeMat-Bulk).

a b c (Å): 4.4840 4.4840 4.4840
angles (deg): 60.00 60.00 60.00
With the nearest neighbours (Å) after each atom.
Sites, in units of the cell vectors:
B1 0.0000 0.0000 0.0000  4 Bi 2.75, 4 U 2.75
Bi1 0.2500 0.2500 0.2500  4 B 2.75
U1 0.7500 0.7500 0.7500  4 B 2.75

Computed properties:
Crystal system: cubic
Energy above the lowest structure with this stoichiometry: 0.0 meV/atom
Total moment: 2.6 μB/f.u.

=====

Entry 10:
# FeCl3

An optimized crystal structure of FeCl3 (PBE-GGA, OQMD via LeMat-Bulk).

a b c (Å): 7.3050 6.6941 9.8190
angles (deg): 90.00 95.34 90.00
With the nearest neighbours (Å) after each atom.
Sites, in units of the cell vectors:
Cl1 0.2580 0.8966 0.0136  1 Fe 2.13
Cl2 0.9175 0.5708 0.1480  2 Fe 2.33
Cl3 0.4035 0.4208 0.1684  1 Fe 2.14
Cl4 0.5965 0.9208 0.3316  1 Fe 2.14
Cl5 0.0825 0.0708 0.3520  2 Fe 2.33
Cl6 0.7420 0.3966 0.4864  1 Fe 2.13
Cl7 0.2580 0.6034 0.5136  1 Fe 2.13
Cl8 0.9175 0.9292 0.6480  2 Fe 2.33
Cl9 0.4035 0.0792 0.6684  1 Fe 2.14
Cl10 0.5965 0.5792 0.8316  1 Fe 2.14
Cl11 0.0825 0.4292 0.8520  2 Fe 2.33
Cl12 0.7420 0.1034 0.9864  1 Fe 2.13
Fe1 0.1972 0.5912 0.0515  4 Cl 2.13-2.33
Fe2 0.8028 0.0912 0.4485  4 Cl 2.13-2.33
Fe3 0.1972 0.9088 0.5516  4 Cl 2.13-2.33
Fe4 0.8028 0.4088 0.9485  4 Cl 2.13-2.33

Computed properties:
Total energy: -4.17 eV per atom
Crystal system: monoclinic
Total moment: 5.0 μB/f.u.

=====

Entry 11:
# TmAsN2O

An optimized crystal structure of TmAsN2O (PBE-GGA, OQMD via LeMat-Bulk).

a b c (Å): 5.3776 5.3776 13.3240
angles (deg): 90.00 90.00 120.00
With the nearest neighbours (Å) after each atom.
Sites, in units of the cell vectors:
As1 0.0000 0.0000 0.0000  6 N 1.90-1.91
As2 0.3333 0.6667 0.1377  3 N 1.77
As3 0.3333 0.6667 0.3623  3 N 1.77
As4 0.0000 0.0000 0.5000  6 N 1.90-1.91
As5 0.6667 0.3333 0.6377  3 N 1.77
As6 0.6667 0.3333 0.8623  3 N 1.77
N1 0.1543 0.3086 0.0939  2 As 1.77-1.91
N2 0.1543 0.8457 0.0939  2 As 1.77-1.90
N3 0.6914 0.8457 0.0939  2 As 1.77-1.90
N4 0.1543 0.3086 0.4061  2 As 1.77-1.91
N5 0.1543 0.8457 0.4061  2 As 1.77-1.90
N6 0.6914 0.8457 0.4061  2 As 1.77-1.90
N7 0.3086 0.1543 0.5939  2 As 1.77-1.91
N8 0.8457 0.1543 0.5939  2 As 1.77-1.90
N9 0.8457 0.6914 0.5939  2 As 1.77-1.90
N10 0.3086 0.1543 0.9061  2 As 1.77-1.91
N11 0.8457 0.1543 0.9061  2 As 1.77-1.90
N12 0.8457 0.6914 0.9061  2 As 1.77-1.90
O1 0.5014 0.0028 0.2500  2 As 2.17, 2 Tm 2.32
O2 0.5014 0.4986 0.2500  2 As 2.17, 2 Tm 2.32
O3 0.9972 0.4986 0.2500  2 As 2.17, 2 Tm 2.32
O4 0.0028 0.5014 0.7500  2 As 2.17, 2 Tm 2.32
O5 0.4986 0.5014 0.7500  2 As 2.17, 2 Tm 2.32
O6 0.4986 0.9972 0.7500  2 As 2.17, 2 Tm 2.32
Tm1 0.6667 0.3333 0.1195  3 O 2.32
Tm2 0.0000 0.0000 0.2500  6 N 2.53, 6 O 2.69
Tm3 0.6667 0.3333 0.3805  3 O 2.32
Tm4 0.3333 0.6667 0.6195  3 O 2.32
Tm5 0.0000 0.0000 0.7500  6 N 2.53, 6 O 2.69
Tm6 0.3333 0.6667 0.8805  3 O 2.32

Computed properties:
Total energy: -6.73 eV per atom
Crystal system: hexagonal
Total moment: 0.0 μB/f.u.

=====

Entry 12:
# TbEr2Zn3NiAu2

An optimized crystal structure of TbEr2Zn3NiAu2 (PBE-GGA, OQMD via LeMat-Bulk).

a b c (Å): 3.9102 7.2476 7.2476
angles (deg): 120.22 90.00 90.00
With the nearest neighbours (Å) after each atom.
Sites, in units of the cell vectors:
Au1 0.5000 0.6701 0.3326  3 Zn 2.83-2.88, 4 Er 2.95, 2 Tb 2.98
Au2 0.5000 0.3326 0.6701  3 Zn 2.83-2.88, 4 Er 2.95, 2 Tb 2.98
Er1 0.0000 0.6053 0.0000  1 Ni 2.85, 4 Au 2.95, 4 Zn 3.15-3.17
Er2 0.0000 0.0000 0.6053  1 Ni 2.85, 4 Au 2.95, 4 Zn 3.15-3.17
Ni1 0.0000 0.9981 0.9981  6 Zn 2.56-2.58, 2 Er 2.85
Tb1 0.0000 0.3958 0.3958  1 Ni 2.87, 4 Au 2.98, 4 Zn 3.17
Zn1 0.5000 0.9984 0.2296  2 Ni 2.58, 2 Au 2.83-2.88, 1 Zn 2.88
Zn2 0.5000 0.7703 0.7703  2 Ni 2.56
Zn3 0.5000 0.2296 0.9984  2 Ni 2.58, 2 Au 2.83-2.88, 1 Zn 2.88

Computed properties:
Crystal system: orthorhombic
Total moment: 0.0 μB/f.u.
Formation energy: -620 meV per atom

=====

Entry 13:
# HoScTl

An optimized crystal structure of HoScTl (PBE-GGA, OQMD via LeMat-Bulk).

a b c (Å): 4.9939 4.9939 4.9939
angles (deg): 60.00 60.00 60.00
With the nearest neighbours (Å) after each atom.
Sites, in units of the cell vectors:
Ho1 0.2500 0.2500 0.2500  4 Tl 3.06
Sc1 0.7500 0.7500 0.7500  4 Tl 3.06
Tl1 0.0000 0.0000 0.0000  4 Sc 3.06, 4 Ho 3.06

Computed properties:
Crystal system: cubic
Energy above the lowest structure with this stoichiometry: 0.0 meV/atom
Total moment: 0.2 μB/f.u.

=====

Entry 14:
# Cs2Ho4Cu4S9

An optimized crystal structure of Cs2Ho4Cu4S9 (PBE-GGA, OQMD via LeMat-Bulk).

a b c (Å): 7.2945 7.2945 16.0588
angles (deg): 108.10 108.10 31.55
With the nearest neighbours (Å) after each atom.
Sites, in units of the cell vectors:
Cs1 0.4713 0.4713 0.2289  7 S 3.31-3.56
Cs2 0.5287 0.5287 0.7711  7 S 3.31-3.56
Cu1 0.7478 0.7478 0.2288  3 S 2.31-2.39
Cu2 0.0698 0.0698 0.4612  4 S 2.37-2.46, 1 Cu 2.64
Cu3 0.9302 0.9302 0.5388  4 S 2.37-2.46, 1 Cu 2.64
Cu4 0.2522 0.2522 0.7712  3 S 2.31-2.39
Ho1 0.1534 0.1534 0.0539  6 S 2.69-2.85
Ho2 0.2684 0.2684 0.3968  6 S 2.70-2.81
Ho3 0.7316 0.7316 0.6032  6 S 2.70-2.81
Ho4 0.8466 0.8466 0.9461  6 S 2.69-2.85
S1 0.5000 0.5000 0.0000  4 Ho 2.85
S2 0.7908 0.7908 0.0967  1 Cu 2.39
S3 0.1622 0.1622 0.2238  2 Cu 2.31
S4 0.8916 0.8916 0.3782  3 Cu 2.43-2.59, 2 Ho 2.71
S5 0.6421 0.6421 0.4272  2 Cu 2.37
S6 0.3579 0.3579 0.5728  2 Cu 2.37
S7 0.1084 0.1084 0.6218  3 Cu 2.43-2.59, 2 Ho 2.71
S8 0.8378 0.8378 0.7762  2 Cu 2.31
S9 0.2092 0.2092 0.9033  1 Cu 2.39

Computed properties:
Total energy: -5.20 eV per atom
Crystal system: monoclinic
Total moment: 0.0 μB/f.u.

=====

Entry 15:
# Pr2HoMg3Ir2Pd

An optimized crystal structure of Pr2HoMg3Ir2Pd (PBE-GGA, OQMD via LeMat-Bulk).

a b c (Å): 4.0856 7.4606 7.4606
angles (deg): 119.58 90.00 90.00
With the nearest neighbours (Å) after each atom.
Sites, in units of the cell vectors:
Ho1 0.0000 0.4141 0.4141  4 Ir 2.97, 1 Pd 3.05, 2 Mg 3.25
Ir1 0.5000 0.6569 0.3372  3 Mg 2.81-2.98, 2 Ho 2.97, 4 Pr 3.07-3.08
Ir2 0.5000 0.3372 0.6569  3 Mg 2.81-2.98, 2 Ho 2.97, 4 Pr 3.07-3.08
Mg1 0.5000 0.2467 0.0041  2 Pd 2.72, 2 Ir 2.83-2.98
Mg2 0.5000 0.0041 0.2467  2 Pd 2.72, 2 Ir 2.83-2.98
Mg3 0.5000 0.7513 0.7513  2 Pd 2.81, 2 Ir 2.81
Pd1 0.0000 0.0074 0.0074  6 Mg 2.72-2.81
Pr1 0.0000 0.5815 0.0007  4 Ir 3.07-3.08, 1 Pd 3.15, 6 Mg 3.24-3.43
Pr2 0.0000 0.0007 0.5815  4 Ir 3.07-3.08, 1 Pd 3.15, 6 Mg 3.24-3.43

Computed properties:
Total energy: -5.27 eV per atom
Crystal system: orthorhombic
Total moment: 0.0 μB/f.u.

=====

Entry 16:
# MgScNiSn

An optimized crystal structure of MgScNiSn (PBE-GGA, OQMD via LeMat-Bulk).

a b c (Å): 4.7222 4.7222 4.7222
angles (deg): 60.00 60.00 60.00
With the nearest neighbours (Å) after each atom.
Sites, in units of the cell vectors:
Mg1 0.2500 0.2500 0.2500  4 Ni 2.89, 4 Sn 2.89
Ni1 0.5000 0.5000 0.5000  4 Sc 2.89, 4 Mg 2.89
Sc1 0.7500 0.7500 0.7500  4 Ni 2.89, 4 Sn 2.89
Sn1 0.0000 0.0000 0.0000  4 Sc 2.89, 4 Mg 2.89

Computed properties:
Crystal system: cubic
Energy above the lowest structure with this stoichiometry: 0.0 meV/atom
Total moment: 0.0 μB/f.u.

=====

Entry 17:
# PrRe4SiGe

An optimized crystal structure of PrRe4SiGe (PBE-GGA, OQMD via LeMat-Bulk).

a b c (Å): 4.1547 7.4221 7.4221
angles (deg): 32.79 90.00 90.00
With the nearest neighbours (Å) after each atom.
Sites, in units of the cell vectors:
Ge1 0.0000 0.4152 0.4152  1 Si 2.52, 4 Re 2.63-2.65
Pr1 0.5000 0.0015 0.0015  4 Ge 3.20, 4 Si 3.22, 8 Re 3.41-3.56
Re1 0.0000 0.1913 0.1913  2 Si 2.53, 4 Re 2.59-2.64
Re2 0.5000 0.2995 0.2995  4 Re 2.56-2.59, 2 Ge 2.65
Re3 0.5000 0.6961 0.6961  2 Si 2.55, 4 Re 2.56-2.58
Re4 0.0000 0.8041 0.8041  4 Re 2.58-2.64, 2 Ge 2.63
Si1 0.0000 0.5923 0.5923  1 Ge 2.52, 4 Re 2.53-2.55

Computed properties:
Total energy: -9.57 eV per atom
Crystal system: orthorhombic
Total moment: 0.0 μB/f.u.

=====

Entry 18:
# YHoH2Br4

An optimized crystal structure of YHoH2Br4 (PBE-GGA, OQMD via LeMat-Bulk).

a b c (Å): 3.8234 3.8234 14.7904
angles (deg): 90.00 90.00 120.00
With the nearest neighbours (Å) after each atom.
Sites, in units of the cell vectors:
Br1 0.3333 0.6667 0.1288  3 H 2.92, 3 Ho 2.92
Br2 0.6667 0.3333 0.3702  3 H 2.93, 3 Y 2.93
Br3 0.6667 0.3333 0.6298  3 H 2.93, 3 Y 2.93
Br4 0.3333 0.6667 0.8712  3 H 2.92, 3 Ho 2.92
H1 0.6667 0.3333 0.0000  3 Ho 2.21
H2 0.3333 0.6667 0.5000  3 Y 2.21
Ho1 0.0000 0.0000 0.0000  3 H 2.21
Y1 0.0000 0.0000 0.5000  3 H 2.21

Computed properties:
Total energy: -4.57 eV per atom
Crystal system: hexagonal
Total moment: 0.0 μB/f.u.

=====

Entry 19:
# PrTcB4

An optimized crystal structure of PrTcB4 (PBE-GGA, OQMD via LeMat-Bulk).

a b c (Å): 3.1728 3.1728 7.3696
angles (deg): 90.00 90.00 120.00
With the nearest neighbours (Å) after each atom.
Sites, in units of the cell vectors:
B1 0.6667 0.3333 0.2094  3 B 1.83
B2 0.3333 0.6667 0.2094  3 B 1.83
B3 0.6667 0.3333 0.7906  3 B 1.83
B4 0.3333 0.6667 0.7906  3 B 1.83
Pr1 0.0000 0.0000 0.5000  12 B 2.82
Tc1 0.0000 0.0000 0.0000  12 B 2.40

Computed properties:
Crystal system: hexagonal
Energy above the lowest structure with this stoichiometry: 0.0 meV/atom
Total moment: 0.0 μB/f.u.